Computed, not measured: a geometry-optimized Tm8HgOs2 structure at the PBE level of DFT.

Lattice parameters (Å, degrees): 5.117 15.606 6.870 90.00 90.00 90.00
Space group Imm2 (No. 44)
Symmetry-distinct sites (fractional):
1 Tm 0.000 0.000 0.000 [2 per cell]
2 Tm 0.000 0.111 0.446 [4 per cell]
3 Tm 0.000 0.290 0.127 [4 per cell]
4 Tm 0.000 0.334 0.585 [4 per cell]
5 Tm 0.000 0.500 0.216 [2 per cell]
6 Hg 0.000 0.500 0.793 [2 per cell]
7 Os 0.000 0.169 0.819 [4 per cell]

Values from the calculation:
Formation energy ... -0.27 eV/atom